# SCAN BePtBr2, single point on PBEsol structure
# **Excess energy over the best structure of this formula in the dataset**: 0.00 kcal/mol of atoms
data_BePtBr2
_symmetry_space_group_name_H-M 'C m m 2'
_symmetry_Int_Tables_number 35
_cell_length_a 3.921
_cell_length_b 6.024
_cell_length_c 7.216
_cell_angle_alpha 90.00
_cell_angle_beta 90.00
_cell_angle_gamma 90.00
loop_
_symmetry_equiv_pos_as_xyz
'x,y,z'
'-x,-y,z'
'-x,y,z'
'x,-y,z'
'x+1/2,y+1/2,z'
'-x+1/2,-y+1/2,z'
'-x+1/2,y+1/2,z'
'x+1/2,-y+1/2,z'
loop_
_atom_site_label
_atom_site_fract_x
_atom_site_fract_y
_atom_site_fract_z
Be1 0.000 0.000 0.000
Pt1 0.000 0.500 0.126
Br1 0.000 0.000 0.364
Br2 0.000 0.500 0.788

---

# SCAN BePt2Br, single point on PBEsol structure
# **Excess energy over the best structure of this formula in the dataset**: 9.70 kcal/mol of atoms
data_BePt2Br
_symmetry_space_group_name_H-M 'C m m 2'
_symmetry_Int_Tables_number 35
_cell_length_a 2.954
_cell_length_b 4.896
_cell_length_c 8.505
_cell_angle_alpha 90.00
_cell_angle_beta 90.00
_cell_angle_gamma 90.00
loop_
_symmetry_equiv_pos_as_xyz
'x,y,z'
'-x,-y,z'
'-x,y,z'
'x,-y,z'
'x+1/2,y+1/2,z'
'-x+1/2,-y+1/2,z'
'-x+1/2,y+1/2,z'
'x+1/2,-y+1/2,z'
loop_
_atom_site_label
_atom_site_fract_x
_atom_site_fract_y
_atom_site_fract_z
Be1 0.000 0.000 0.000
Pt1 0.000 0.000 0.471
Pt2 0.000 0.500 0.196
Br1 0.000 0.500 0.794

---

# SCAN Be2PtBr, single point on PBEsol structure
# **Excess energy over the best structure of this formula in the dataset**: 1.59 kcal/mol of atoms
data_Be2PtBr
_symmetry_space_group_name_H-M 'P m m m'
_symmetry_Int_Tables_number 47
_cell_length_a 2.883
_cell_length_b 3.223
_cell_length_c 6.232
_cell_angle_alpha 90.00
_cell_angle_beta 90.00
_cell_angle_gamma 90.00
loop_
_symmetry_equiv_pos_as_xyz
'x,y,z'
'-x,-y,-z'
'-x,-y,z'
'x,y,-z'
'x,-y,-z'
'-x,y,z'
'-x,y,-z'
'x,-y,z'
loop_
_atom_site_label
_atom_site_fract_x
_atom_site_fract_y
_atom_site_fract_z
Be1 0.000 0.000 0.183
Pt1 0.500 0.500 0.000
Br1 0.500 0.000 0.500

---

# SCAN BePt2Br, single point on PBEsol structure
# **Excess energy over the best structure of this formula in the dataset**: 8.89 kcal/mol of atoms
data_BePt2Br
_symmetry_space_group_name_H-M 'I m m m'
_symmetry_Int_Tables_number 71
_symmetry_space_group_name_Hall '-I 2 2'
_cell_length_a 2.946
_cell_length_b 4.330
_cell_length_c 9.459
_cell_angle_alpha 90.00
_cell_angle_beta 90.00
_cell_angle_gamma 90.00
loop_
_atom_site_label
_atom_site_fract_x
_atom_site_fract_y
_atom_site_fract_z
Be1 0.000 0.000 0.000
Pt1 0.000 0.500 0.309
Br1 0.000 0.000 0.500

---

# SCAN BePtBr2, single point on PBEsol structure
# **Excess energy over the best structure of this formula in the dataset**: 2.97 kcal/mol of atoms
data_BePtBr2
_symmetry_space_group_name_H-M 'R 3 m'
_symmetry_Int_Tables_number 160
_symmetry_space_group_name_Hall 'R 3 -2"'
_cell_length_a 3.2063
_cell_length_b 3.2063
_cell_length_c 25.9677
_cell_angle_alpha 90.00
_cell_angle_beta 90.00
_cell_angle_gamma 120.00
loop_
_atom_site_label
_atom_site_fract_x
_atom_site_fract_y
_atom_site_fract_z
Be1 0.0000 0.0000 0.0000
Pt1 0.0000 0.0000 0.2701
Br1 0.0000 0.0000 0.5261
Br2 0.0000 0.0000 0.7199

---

# SCAN BePt2Br, single point on PBEsol structure
# **Excess energy over the best structure of this formula in the dataset**: 6.81 kcal/mol of atoms
data_BePt2Br
_symmetry_space_group_name_H-M 'P m m 2'
_symmetry_Int_Tables_number 25
_cell_length_a 2.878
_cell_length_b 3.532
_cell_length_c 6.262
_cell_angle_alpha 90.00
_cell_angle_beta 90.00
_cell_angle_gamma 90.00
loop_
_symmetry_equiv_pos_as_xyz
'x,y,z'
'-x,-y,z'
'-x,y,z'
'x,-y,z'
loop_
_atom_site_label
_atom_site_fract_x
_atom_site_fract_y
_atom_site_fract_z
Be1 0.000 0.000 0.000
Pt1 0.000 0.000 0.648
Pt2 0.500 0.500 0.924
Br1 0.500 0.500 0.346

---

# SCAN BePtBr2, single point on PBEsol structure
# **Excess energy over the best structure of this formula in the dataset**: 24.36 kcal/mol of atoms
data_BePtBr2
_symmetry_space_group_name_H-M 'F m -3 m'
_symmetry_Int_Tables_number 225
_symmetry_space_group_name_Hall '-F 4 2 3'
_cell_length_a 6.561
_cell_length_b 6.561
_cell_length_c 6.561
_cell_angle_alpha 90.00
_cell_angle_beta 90.00
_cell_angle_gamma 90.00
loop_
_atom_site_label
_atom_site_fract_x
_atom_site_fract_y
_atom_site_fract_z
Be1 0.000 0.000 0.000
Pt1 0.000 0.000 0.500
Br1 0.250 0.250 0.250

---

# SCAN BePtBr2, single point on PBEsol structure
# **Excess energy over the best structure of this formula in the dataset**: 25.32 kcal/mol of atoms
data_BePtBr2
_symmetry_space_group_name_H-M 'P 4/m m m'
_symmetry_Int_Tables_number 123
_symmetry_space_group_name_Hall '-P 4 2'
_cell_length_a 4.663
_cell_length_b 4.663
_cell_length_c 3.243
_cell_angle_alpha 90.00
_cell_angle_beta 90.00
_cell_angle_gamma 90.00
loop_
_atom_site_label
_atom_site_fract_x
_atom_site_fract_y
_atom_site_fract_z
Be1 0.000 0.000 0.000
Pt1 0.500 0.500 0.000
Br1 0.000 0.500 0.500

---

| no. | ΔE_f (raw) (eV/atom) | energy (eV/f.u.) |
| --- | --- | --- |
| 1 | -0.16 | -114.11 |
| 2 | 0.24 | -163.22 |
| 3 | -0.30 | -99.55 |
| 4 | 0.21 | -163.36 |
| 5 | -0.03 | -113.59 |
| 6 | 0.12 | -163.73 |
| 7 | 0.90 | -109.88 |
| 8 | 0.94 | -109.72 |